Entry 1:
Material: AlGa2AgSb
Method: DFT, GGA-PBE
State: relaxed

Unit cell a=4.9112 b=4.9112 c=5.0176 alpha=90.00 beta=90.00 gamma=90.00
Positions (direct):
1 Al 0.0000 0.0000 0.0000
2 Ga 0.0000 0.5000 0.0000
3 Ga 0.5000 0.0000 0.0000
4 Ag 0.0000 0.0000 0.5000
5 Sb 0.5000 0.5000 0.5000

**Calculated total energy**: -14.728 eV/f.u.
**Raw formation energy**: 0.41 eV/atom

---

Entry 2:
Material: AcCdAg
Method: DFT, GGA-PBE
State: relaxed

Unit cell a=5.0199 b=5.0199 c=3.9236 alpha=90.00 beta=90.00 gamma=120.00
Positions (direct):
1 Ac 0.0000 0.0000 0.0000
2 Cd 0.6667 0.3333 0.5000
3 Ag 0.3333 0.6667 0.5000

**ΔH_f (0 K)**: -0.3195 eV per atom
**Calculated total energy**: -8.833 eV/f.u.
**Energy above the lowest structure with this stoichiometry**: 0.0000 eV/atom

---

no.,V (Å³/atom)
1,24.20
2,28.54